[1]
## InH2F (PBE-GGA)

Data for a geometry-optimized InH2F structure.

abc: 3.750 3.750 12.901
angles: 90.00 90.00 90.00
Space group I-42d (No. 122)
One atom of each set of equivalent atoms:
1 In 0.000 0.000 0.000 (multiplicity 4)
2 H 0.116 0.250 0.125 (multiplicity 8)
3 F 0.000 0.000 0.500 (multiplicity 4)

Values from the calculation:
Fermi-level density of states   0.42 states/eV/f.u.
Energy above the most stable polymorph in this dataset   0.4867 eV/atom
Total magnetization   0.000 Bohr magnetons per cell
Calculated density   4.974 g cm⁻³

***

[2]
## RbLiTlCl6 (PBE-GGA)

Data for a geometry-optimized RbLiTlCl6 structure.

abc: 6.054 6.966 7.394
angles: 87.13 83.09 64.50
Space group P1 (No. 1)
One atom of each set of equivalent atoms:
1 Rb 0.000 0.000 0.000 (multiplicity 1)
2 Li 0.649 0.704 0.499 (multiplicity 1)
3 Tl 0.349 0.302 0.500 (multiplicity 1)
4 Cl 0.046 0.578 0.273 (multiplicity 1)
5 Cl 0.370 0.585 0.720 (multiplicity 1)
6 Cl 0.404 0.997 0.289 (multiplicity 1)
7 Cl 0.605 0.997 0.708 (multiplicity 1)
8 Cl 0.644 0.420 0.277 (multiplicity 1)
9 Cl 0.936 0.413 0.716 (multiplicity 1)

Values from the calculation:
Fermi-level density of states   3.08 states/eV/f.u.
Energy relative to the elements, uncorrected   -9.410 eV per formula unit
Total magnetization   1.050 Bohr magnetons per cell
Calculated density   3.029 g cm⁻³